DFT (GGA-PBE) results for crystalline Na5Hg2Bi at its relaxed geometry.

Geometry as POSCAR:
```
Na5Hg2Bi
1.0
8.216 0.000 0.000
0.000 8.216 0.000
-4.108 -4.108 7.011
Hg Bi Na
4 2 10
Cartesian
5.187 1.079 0.000 Hg
1.079 3.029 0.000 Hg
3.029 7.138 0.000 Hg
7.138 5.187 0.000 Hg
0.000 0.000 3.506 Bi
4.108 4.108 3.506 Bi
2.718 1.390 2.138 Na
6.826 2.718 2.138 Na
5.499 6.826 2.138 Na
1.390 2.718 4.873 Na
-2.718 1.390 4.873 Na
0.000 0.000 0.000 Na
4.108 4.108 0.000 Na
1.390 5.499 2.138 Na
-1.390 -2.718 4.873 Na
2.718 -1.390 4.873 Na
```

Calculated values
- final energy (hartree per atom) = -0.061
- volume (Å³ per atom) = 29.58
- ΔH_f (0 K) (eV/atom) = -0.27
- space group = No. 140
- mass density (g/cm3) = 5.09

DFT (GGA-PBE) results for crystalline Li5Pb6 at its relaxed geometry.

Geometry as POSCAR:
```
Li5Pb6
1.0
-1.831 -4.617 0.204
-0.463 0.079 -7.155
7.970 -0.457 3.004
Pb Li
6 5
Cartesian
1.848 -0.782 -5.655 Pb
2.070 -0.890 -1.803 Pb
3.606 -4.105 -2.143 Pb
-1.287 -2.306 -5.285 Pb
-1.007 -2.233 -1.666 Pb
3.828 -4.214 1.708 Pb
1.118 -3.174 -3.632 Li
1.473 -3.263 -0.063 Li
4.558 -1.821 -0.315 Li
4.203 -1.733 -3.884 Li
-0.231 0.039 -3.578 Li
```

Calculated values
- final energy (hartree per atom) = -0.114
- volume (Å³ per atom) = 23.85
- ΔH_f (0 K) (eV/atom) = -0.22
- space group = No. 12
- mass density (g/cm3) = 8.09

DFT (GGA-PBE) results for crystalline Na2HoErSe4 at its relaxed geometry.

Geometry as POSCAR:
```
Na2HoErSe4
1.0
-1.360 -1.236 -3.689
-5.571 -3.187 3.122
-1.862 6.965 -1.647
Se Er Na Ho
4 1 2 1
Cartesian
-6.343 2.343 -0.748 Se
-2.866 4.558 -0.470 Se
-2.451 0.199 -1.465 Se
-4.567 -0.779 1.945 Se
0.000 0.000 0.000 Er
-3.717 1.889 0.738 Na
-1.611 2.865 -2.668 Na
-3.466 -2.211 -0.283 Ho
```

Calculated values
- final energy (hartree per atom) = -0.181
- volume (Å³ per atom) = 25.75
- space group = No. 10
- mass density (g/cm3) = 5.60

DFT (GGA-PBE) results for crystalline MnTl2Sb at its relaxed geometry.

Geometry as POSCAR:
```
MnTl2Sb
1.0
4.503 -0.032 0.021
2.293 3.875 0.021
2.216 1.253 6.712
Tl Mn Sb
2 1 1
Cartesian
2.249 1.272 2.117 Tl
2.218 1.254 6.563 Tl
4.504 2.547 3.740 Mn
6.762 3.823 4.423 Sb
```

Calculated values
- final energy (hartree per atom) = -0.158
- energy relative to the lowest polymorph listed for this composition (eV per atom) = 0.027
- volume (Å³ per atom) = 29.34
- space group = No. 8
- mass density (g/cm3) = 8.28

DFT (GGA-PBE) results for crystalline Mg7TlBi2 at its relaxed geometry.

Geometry as POSCAR:
```
Mg7TlBi2
1.0
-4.674 -0.097 0.852
0.408 -4.403 1.741
4.056 6.806 9.778
Mg Bi Tl
7 2 1
Cartesian
-1.375 2.230 5.963 Mg
-0.735 3.746 9.647 Mg
-2.015 0.714 2.278 Mg
1.166 0.077 6.407 Mg
0.526 -1.439 2.723 Mg
1.806 1.593 10.092 Mg
-2.133 -2.250 1.296 Mg
-1.480 -0.704 5.053 Bi
1.271 3.011 7.318 Bi
0.000 0.000 0.000 Tl
```

Calculated values
- final energy (hartree per atom) = -0.080
- volume (Å³ per atom) = 27.39
- ΔH_f (0 K) (eV/atom) = -0.05
- space group = No. 139
- mass density (g/cm3) = 4.81

DFT (GGA-PBE) results for crystalline Sc5Be at its relaxed geometry.

Geometry as POSCAR:
```
Sc5Be
1.0
0.000 4.109 4.109
4.109 0.000 4.109
4.109 4.109 0.000
Sc Be
5 1
Cartesian
2.054 2.054 2.054 Sc
5.131 5.131 5.131 Sc
5.131 3.086 3.086 Sc
3.086 3.086 5.131 Sc
3.086 5.131 3.086 Sc
0.000 0.000 0.000 Be
```

Calculated values
- final energy (hartree per atom) = -0.198
- energy relative to the lowest polymorph listed for this composition (eV per atom) = 0.479
- volume (Å³ per atom) = 23.12
- ΔH_f (0 K) (eV/atom) = 0.50
- space group = No. 216
- mass density (g/cm3) = 2.80

DFT (GGA-PBE) results for crystalline KTc2Ru at its relaxed geometry.

Geometry as POSCAR:
```
KTc2Ru
1.0
10.454 -0.017 -0.010
10.083 2.759 -0.010
10.083 1.346 2.408
K Ru Tc
1 1 2
Cartesian
7.655 1.022 0.597 K
22.966 3.066 1.791 Ru
14.840 1.981 1.157 Tc
0.470 0.063 0.037 Tc
```

Calculated values
- final energy (hartree per atom) = -0.258
- energy relative to the lowest polymorph listed for this composition (eV per atom) = 0.018
- volume (Å³ per atom) = 17.54
- ΔH_f (0 K) (eV/atom) = 0.77
- space group = No. 166
- mass density (g/cm3) = 7.96

DFT (GGA-PBE) results for crystalline Fe2HBr6 at its relaxed geometry.

Geometry as POSCAR:
```
Fe2HBr6
1.0
6.656 -1.035 0.419
0.382 9.729 0.229
-1.746 -0.174 9.580
Br H Fe
12 2 4
Cartesian
3.937 7.249 4.206 Br
0.664 0.086 2.328 Br
0.213 6.743 5.708 Br
4.628 8.433 7.899 Br
1.355 1.270 6.021 Br
3.231 4.782 7.281 Br
0.863 6.918 9.609 Br
4.429 1.601 0.618 Br
5.079 1.777 4.519 Br
-0.306 3.511 8.016 Br
5.598 5.009 2.211 Br
2.061 3.738 2.946 Br
4.759 6.091 3.245 H
0.533 2.429 6.982 H
0.686 1.872 3.755 Fe
4.606 6.647 6.472 Fe
0.940 5.590 7.750 Fe
4.352 2.930 2.477 Fe
```

Calculated values
- final energy (hartree per atom) = -0.138
- volume (Å³ per atom) = 35.11
- space group = No. 15
- mass density (g/cm3) = 3.11